No. 1
Compound: Nd2DyAs3Pt4
Source: Alexandria via LeMat-Bulk
Functional: PBE-GGA
Structure: relaxed

ΔE_f   -962 meV per atom
Spin magnetization   0.000 Bohr magnetons per cell
Final energy   -61.87 eV per formula unit

```
10
Lattice="4.303 0.000 0.000 0.000 4.303 0.000 0.000 0.000 11.337" Properties=species:S:1:pos:R:3 pbc="T T T"
As 0.000 0.000 5.669
As 2.152 0.000 9.885
Pt 0.000 0.000 0.000
Pt 0.000 2.152 3.908
Pt 2.152 2.152 0.000
Nd 0.000 2.152 8.911
As 0.000 2.152 1.452
Pt 2.152 0.000 7.429
Dy 2.152 2.152 5.669
Nd 2.152 0.000 2.426
```

No. 2
Compound: V2SiN
Source: Alexandria via LeMat-Bulk
Functional: PBE-GGA
Structure: relaxed

Spin magnetization   0.000 Bohr magnetons per cell
Final energy   -30.55 eV per formula unit
Raw formation energy   359 meV per atom
Excess energy over the best structure of this formula in the dataset   1.0709 eV per atom

```
4
Lattice="0.000 2.844 2.844 2.844 0.000 2.844 2.844 2.844 0.000" Properties=species:S:1:pos:R:3 pbc="T T T"
Si 2.844 2.844 2.844
N 0.000 0.000 0.000
V 1.422 1.422 1.422
V 4.266 4.266 4.266
```

No. 3
Compound: Cs2AgMoS4
Source: Alexandria via LeMat-Bulk
Functional: PBE-GGA
Structure: relaxed

Spin magnetization   2.016 Bohr magnetons per cell
Final energy   -38.19 eV per formula unit
Raw formation energy   -786 meV per atom

```
16
Lattice="5.947 0.000 0.000 2.973 7.208 0.000 2.973 0.000 12.358" Properties=species:S:1:pos:R:3 pbc="T T T"
Ag 7.434 3.604 6.179
Cs 2.973 0.000 7.986
S 10.187 5.858 11.041
Mo 2.973 0.000 0.000
Mo 4.460 3.604 6.179
S 4.240 1.351 1.318
S 5.727 2.253 7.497
Cs 5.947 0.000 4.372
Cs 7.434 3.604 1.807
S 5.727 4.955 4.862
Ag 0.000 0.000 0.000
S 4.681 5.858 1.318
S 9.141 4.955 7.497
S 4.681 1.351 11.041
Cs 7.434 3.604 10.551
S 3.194 2.253 4.862
```

No. 4
Compound: Zr4CoCu
Source: Alexandria via LeMat-Bulk
Functional: PBE-GGA
Structure: relaxed

ΔE_f   83 meV per atom
Spin magnetization   0.000 Bohr magnetons per cell
Final energy   -44.90 eV per formula unit
Excess energy over the best structure of this formula in the dataset   0.2786 eV per atom

```
12
Lattice="6.291 0.000 0.018 0.000 6.292 0.000 -0.075 0.000 6.327" Properties=species:S:1:pos:R:3 pbc="T T T"
Zr 2.088 2.127 2.234
Co -0.038 3.146 3.164
Zr 0.881 2.173 5.246
Cu 0.000 0.000 0.000
Zr 5.233 1.019 2.243
Cu 3.145 3.146 0.009
Zr 4.026 0.972 5.254
Zr 2.189 5.319 1.091
Zr 5.335 4.118 1.099
Zr 4.127 4.165 4.111
Zr 0.982 5.273 4.102
Co 3.108 0.000 3.173
```

No. 5
Compound: Ca3TlP
Source: Alexandria via LeMat-Bulk
Functional: PBE-GGA
Structure: relaxed

ΔE_f   215 meV per atom
Spin magnetization   0.000 Bohr magnetons per cell
Final energy   -12.71 eV per formula unit
Excess energy over the best structure of this formula in the dataset   0.9346 eV per atom

```
5
Lattice="-2.826 4.631 -1.939 -4.831 -1.902 2.497 1.367 2.851 4.816" Properties=species:S:1:pos:R:3 pbc="T T T"
Ca -2.415 -0.951 1.249
Tl 0.000 0.000 0.000
P -3.145 2.790 2.687
Ca 0.684 1.426 2.408
Ca -1.413 2.315 -0.970
```

No. 6
Compound: Cd2CuNiH
Source: Alexandria via LeMat-Bulk
Functional: PBE-GGA
Structure: relaxed

Spin magnetization   0.000 Bohr magnetons per cell
Final energy   -14.57 eV per formula unit

```
5
Lattice="-4.023 -1.308 1.998 -0.040 -3.877 -2.618 1.589 -1.509 2.211" Properties=species:S:1:pos:R:3 pbc="T T T"
Ni 0.795 -0.755 1.106
Cu -1.237 -3.347 0.796
Cd -2.011 -0.654 0.999
H 0.000 0.000 0.000
Cd -0.020 -1.938 -1.309
```

No. 7
Compound: Ni2Pt3W3
Source: Alexandria via LeMat-Bulk
Functional: PBE-GGA
Structure: relaxed

ΔE_f   -150 meV per atom
Spin magnetization   0.000 Bohr magnetons per cell
Final energy   -69.75 eV per formula unit

```
8
Lattice="-3.341 1.630 1.576 -0.600 -3.254 2.094 5.923 3.608 3.650" Properties=species:S:1:pos:R:3 pbc="T T T"
Pt 2.624 0.436 5.110
W 1.210 2.855 4.782
W 0.000 0.000 0.000
Ni 1.978 1.392 2.752
Pt -0.642 1.548 2.210
W 0.772 -0.871 2.538
Ni 0.004 0.592 4.568
Pt -1.970 -0.812 1.835
```

No. 8
Compound: Pm3Th2Si3
Source: Alexandria via LeMat-Bulk
Functional: PBE-GGA
Structure: relaxed

Spin magnetization   0.000 Bohr magnetons per cell
Final energy   -47.92 eV per formula unit
Raw formation energy   -320 meV per atom

```
8
Lattice="-0.961 3.615 1.665 -4.717 -1.439 0.403 4.801 -4.891 8.353" Properties=species:S:1:pos:R:3 pbc="T T T"
Si 0.518 -1.004 2.478
Si -1.395 -1.711 7.944
Th 0.460 -0.015 5.331
Pm 1.528 -2.962 7.312
Th -1.336 -2.700 5.091
Si -2.358 -0.720 0.201
Pm -0.480 1.808 0.833
Pm -2.405 0.247 3.110
```

No. 9
Compound: Ba2LaVRh
Source: Alexandria via LeMat-Bulk
Functional: PBE-GGA
Structure: relaxed

ΔE_f   952 meV per atom
Spin magnetization   0.452 Bohr magnetons per cell
Final energy   -20.48 eV per formula unit

```
5
Lattice="-0.047 5.715 0.060 -0.818 -0.059 5.006 5.641 0.037 0.922" Properties=species:S:1:pos:R:3 pbc="T T T"
V 0.000 0.000 0.000
La -0.409 -0.030 2.503
Ba 2.820 0.019 0.461
Rh 2.388 2.847 2.994
Ba -0.024 2.858 0.030
```

No. 10
Compound: NaSr2TiCl
Source: Alexandria via LeMat-Bulk
Functional: PBE-GGA
Structure: relaxed

Spin magnetization   3.054 Bohr magnetons per cell
Final energy   -12.70 eV per formula unit
Raw formation energy   344 meV per atom

```
5
Lattice="6.677 0.000 0.000 0.000 4.696 0.000 0.000 0.000 6.677" Properties=species:S:1:pos:R:3 pbc="T T T"
Sr 0.000 0.000 3.338
Sr 3.338 0.000 0.000
Ti 3.338 2.348 3.338
Cl 0.000 2.348 0.000
Na 0.000 0.000 0.000
```

No. 11
Compound: CuSb2Te
Source: Alexandria via LeMat-Bulk
Functional: PBE-GGA
Structure: relaxed

Spin magnetization   0.000 Bohr magnetons per cell
Final energy   -14.78 eV per formula unit
Raw formation energy   176 meV per atom

```
4
Lattice="3.220 -0.006 0.000 -0.606 3.163 0.000 0.000 0.000 9.872" Properties=species:S:1:pos:R:3 pbc="T T T"
Sb 0.000 0.000 9.163
Sb 0.000 0.000 5.645
Te 1.307 1.579 2.468
Cu 1.307 1.579 7.404
```

No. 12
Compound: RbMnNi
Source: Alexandria via LeMat-Bulk
Functional: PBE-GGA
Structure: relaxed

ΔE_f   476 meV per atom
Spin magnetization   8.441 Bohr magnetons per cell
Final energy   -14.49 eV per formula unit
Excess energy over the best structure of this formula in the dataset   0.0722 eV per atom

```
6
Lattice="-3.758 0.412 -2.922 8.309 -1.704 -6.664 0.963 -4.416 1.514" Properties=species:S:1:pos:R:3 pbc="T T T"
Mn 6.107 -4.691 -4.620
Ni 5.996 -2.569 -5.865
Rb -0.153 -3.478 -0.630
Mn 4.209 -2.385 -7.449
Rb 4.057 -2.120 -3.311
Ni 4.487 -4.545 -6.422
```

No. 13
Compound: Re3Tc2Os
Source: Alexandria via LeMat-Bulk
Functional: PBE-GGA
Structure: relaxed

ΔE_f   43 meV per atom
Spin magnetization   0.000 Bohr magnetons per cell
Final energy   -69.05 eV per formula unit

```
12
Lattice="2.650 -0.702 0.360 -3.256 8.390 -2.142 3.963 -1.894 9.658" Properties=species:S:1:pos:R:3 pbc="T T T"
Os 0.329 6.237 4.478
Tc 1.205 5.359 6.938
Re 5.232 -0.623 8.109
Re 1.465 3.074 0.518
Re 1.709 0.964 5.260
Re -1.874 6.417 -0.233
Re 1.892 2.720 7.358
Re 1.648 4.830 2.616
Tc 1.009 3.584 4.903
Tc 2.349 2.210 2.972
Os 3.028 -0.443 3.397
Tc 2.152 0.435 0.937
```

No. 14
Compound: KTaP4O13
Source: Alexandria via LeMat-Bulk
Functional: PBE-GGA
Structure: relaxed

Spin magnetization   0.413 Bohr magnetons per cell
Final energy   -143.01 eV per formula unit
Raw formation energy   -2314 meV per atom

```
76
Lattice="-5.723 4.308 0.564 -5.115 -6.524 -2.067 -1.579 -4.448 17.947" Properties=species:S:1:pos:R:3 pbc="T T T"
O -5.433 -4.462 2.363
O -7.617 -5.084 7.811
O -5.217 -7.710 12.406
O -9.606 -5.414 13.055
O -3.982 -3.961 12.209
P -9.317 -6.968 13.373
Ta -2.798 -1.331 3.385
O -5.301 -3.362 10.044
P -9.837 -3.154 9.365
P -5.906 -4.815 16.140
P -2.433 -3.655 11.907
O -1.248 -1.619 2.141
O -7.946 -7.147 12.638
O -6.873 -1.661 4.616
O -5.629 -4.847 6.363
P -6.898 -4.530 1.703
O -5.486 -1.581 6.775
O -8.576 -2.610 9.881
O -3.239 -4.727 7.150
P -4.885 0.211 1.040
O -5.762 -4.025 17.537
O -7.000 -3.953 0.349
Ta -6.902 -2.191 14.078
P -5.393 -3.838 11.438
P -5.650 -1.084 5.396
P -4.219 -5.607 6.498
O -6.895 2.730 0.217
O -7.437 -6.533 5.633
P -9.852 -4.058 13.883
O -6.190 -0.458 1.030
O -7.702 -3.762 2.802
O -9.002 -1.291 2.968
O -10.261 -4.250 15.287
O -4.558 -6.948 7.324
O -9.576 -1.796 5.654
O -4.248 -0.461 10.094
O -2.630 -3.726 16.345
O -1.727 -2.003 4.866
K -7.881 -1.525 -0.683
P -6.005 2.958 1.541
O -5.385 -7.253 9.640
P -8.703 -5.863 8.711
O -3.753 -4.042 0.418
O -4.949 1.745 1.532
Ta -8.514 -2.706 4.214
K -3.315 -2.365 8.328
O -4.463 -5.483 15.902
Ta -6.620 -7.099 11.213
O -5.812 0.510 5.263
O -7.512 -0.569 13.205
K -6.966 -8.496 16.081
O -7.306 -6.032 1.824
K -6.671 -0.941 9.163
O -7.838 -3.991 5.599
O -6.055 -3.707 15.085
O -9.312 -7.320 14.805
O -7.848 -1.669 15.767
P -2.919 -5.160 16.236
O -4.402 -1.286 4.476
O -5.270 -1.176 14.573
O -10.162 -3.767 3.906
O -2.086 -3.542 10.478
O -6.467 1.398 7.622
O -3.390 -3.128 2.787
O -9.792 -4.742 9.093
O -6.011 -5.255 11.623
O -10.403 -2.282 -0.494
O -6.158 -2.885 12.417
P -6.212 1.750 6.213
P -7.192 -5.225 6.249
O -7.954 -6.204 10.009
O -6.943 -5.857 16.139
O -3.762 -0.415 1.883
O -8.543 -3.235 13.673
P -3.911 -4.271 1.866
O -2.112 -2.398 12.775
```

No. 15
Compound: Co2Ni7Rh
Source: Alexandria via LeMat-Bulk
Functional: PBE-GGA
Structure: relaxed

ΔE_f   633 meV per atom
Spin magnetization   9.610 Bohr magnetons per cell
Final energy   -55.70 eV per formula unit

```
10
Lattice="3.728 0.000 0.000 0.000 6.804 -0.464 0.000 -3.483 5.863" Properties=species:S:1:pos:R:3 pbc="T T T"
Co 1.864 -0.385 3.958
Ni 1.864 1.718 0.340
Ni 0.000 4.730 0.812
Ni 1.864 1.660 2.700
Ni 1.864 3.792 3.713
Co 1.864 3.706 1.442
Ni 1.864 -0.471 1.687
Ni 1.864 1.603 5.059
Rh 0.000 0.000 0.000
Ni 0.000 -1.410 4.588
```

No. 16
Compound: Er8Th4Mg
Source: Alexandria via LeMat-Bulk
Functional: PBE-GGA
Structure: relaxed

ΔE_f   164 meV per atom
Spin magnetization   0.000 Bohr magnetons per cell
Final energy   -65.64 eV per formula unit

```
13
Lattice="6.412 0.000 -3.459 -4.139 5.995 0.000 1.104 0.763 9.719" Properties=species:S:1:pos:R:3 pbc="T T T"
Th -2.069 2.998 0.000
Er -0.380 1.743 2.771
Th 3.206 0.000 -1.730
Er 6.021 1.736 3.488
Er 2.626 1.813 4.868
Th 0.000 0.000 0.000
Er 0.852 5.015 5.056
Th 1.136 2.997 -1.730
Er -2.644 5.022 2.771
Er 3.758 5.015 3.488
Mg -1.517 3.379 4.859
Er 0.751 4.945 1.392
Er 2.525 1.743 1.204
```

No. 17
Compound: SrIn2Br6
Source: Alexandria via LeMat-Bulk
Functional: PBE-GGA
Structure: relaxed

Spin magnetization   0.000 Bohr magnetons per cell
Final energy   -27.70 eV per formula unit
Raw formation energy   -1168 meV per atom
Excess energy over the best structure of this formula in the dataset   0.0000 eV per atom

```
9
Lattice="-7.441 2.470 1.791 -6.176 -2.103 -4.703 -5.706 -6.725 3.625" Properties=species:S:1:pos:R:3 pbc="T T T"
Br -10.158 -2.679 -2.460
In -4.729 -0.994 -0.221
Sr -14.784 -6.480 1.683
Br -8.374 -5.964 -0.037
Br -9.093 -3.552 3.374
Br -7.249 -1.671 -0.219
Br -12.314 -4.688 0.864
In -10.053 -5.476 1.898
Br -10.781 -0.513 0.610
```

No. 18
Compound: Pm2Nd5Sm12
Source: Alexandria via LeMat-Bulk
Functional: PBE-GGA
Structure: relaxed

ΔE_f   130 meV per atom
Spin magnetization   0.000 Bohr magnetons per cell
Final energy   -87.50 eV per formula unit
Excess energy over the best structure of this formula in the dataset   0.0000 eV per atom

```
19
Lattice="6.832 0.000 -2.196 -0.891 8.304 -2.773 0.018 -0.077 11.781" Properties=species:S:1:pos:R:3 pbc="T T T"
Nd 1.273 4.041 3.959
Nd 4.686 4.185 2.852
Nd 4.374 0.762 1.880
Sm 2.829 2.482 8.799
Sm 0.193 1.672 6.385
Sm 3.814 5.051 6.169
Sm 5.015 7.668 3.876
Sm 3.130 5.745 -1.987
Sm 5.464 3.175 -0.424
Sm 0.944 0.558 2.936
Sm 0.495 5.051 7.236
Pm 5.097 0.000 -1.639
Pm 1.735 0.000 -0.558
Nd 1.585 7.465 4.932
Nd -0.446 4.152 -1.386
Sm 5.766 6.554 0.427
Sm 2.395 6.554 1.510
Sm 3.563 1.672 5.301
Sm 2.145 3.175 0.643
```

No. 19
Compound: La4Tb3Ga4
Source: Alexandria via LeMat-Bulk
Functional: PBE-GGA
Structure: relaxed

ΔE_f   -420 meV per atom
Spin magnetization   0.000 Bohr magnetons per cell
Final energy   -50.33 eV per formula unit

```
11
Lattice="-2.225 -2.646 -0.864 5.217 -5.927 4.715 -6.560 6.010 5.843" Properties=species:S:1:pos:R:3 pbc="T T T"
Ga 2.936 -5.922 3.227
Tb -0.920 0.313 1.412
Ga 0.056 -2.650 0.624
La 0.694 -4.717 5.312
Ga -0.246 -1.992 6.737
Tb 2.609 -2.963 2.358
Tb -2.648 -2.876 8.283
La -2.493 0.145 5.981
La -4.262 2.154 4.382
La -1.075 -2.708 3.714
Ga -3.322 -0.571 2.958
```

No. 20
Compound: Pm2NdSmHo2
Source: Alexandria via LeMat-Bulk
Functional: PBE-GGA
Structure: relaxed

ΔE_f   263 meV per atom
Spin magnetization   0.000 Bohr magnetons per cell
Final energy   -26.57 eV per formula unit

```
12
Lattice="-1.530 -2.294 -2.020 5.811 -2.950 -1.051 -2.858 -10.750 14.372" Properties=species:S:1:pos:R:3 pbc="T T T"
Pm -1.036 -9.385 11.441
Nd 0.000 0.000 0.000
Ho 1.211 -2.410 1.820
Sm -1.429 -5.375 7.186
Nd 0.712 -7.997 5.650
Pm -0.037 -5.326 3.185
Ho 2.763 -7.243 3.241
Pm 3.989 -4.315 1.879
Sm 2.141 -2.622 -1.535
Pm 1.461 -10.667 8.116
Ho 1.742 -11.290 11.501
Ho -1.340 -8.751 8.060
```